This record from Alexandria describes AcMg2Cd4In after structural relaxation. The functional is PBE.

a = 4.942 Å, b = 4.942 Å, c = 10.287 Å
α = 76.10°, β = 76.10°, γ = 60.00°
Sites, in units of the cell vectors:
1 Mg 0.244 0.244 0.269
2 Mg 0.756 0.756 0.731
3 Cd 0.603 0.603 0.191
4 Cd 0.876 0.876 0.371
5 Cd 0.124 0.124 0.629
6 Cd 0.397 0.397 0.809
7 In 0.500 0.500 0.500
8 Ac 0.000 0.000 0.000

Formation energy   -1.2 eV/f.u.
Total magnetization   0.00 μB per atom
SG   R-3m (166)

This record from Alexandria describes Ti6Pd2Rh after structural relaxation. The functional is PBE.

a = 4.313 Å, b = 6.068 Å, c = 7.439 Å
α = 114.07°, β = 106.77°, γ = 90.00°
Sites, in units of the cell vectors:
1 Ti 0.500 0.244 0.000
2 Ti 0.163 0.411 0.327
3 Ti 0.837 0.084 0.673
4 Ti 0.837 0.589 0.673
5 Ti 0.500 0.756 0.000
6 Ti 0.163 0.916 0.327
7 Rh 0.000 0.000 0.000
8 Pd 0.668 0.668 0.335
9 Pd 0.332 0.332 0.665

Formation energy   -0.7 eV/f.u.
Total magnetization   0.00 μB per atom
SG   C2/m (12)

This record from Alexandria describes MnHgTe2 after structural relaxation. The functional is PBE.

a = 6.455 Å, b = 6.455 Å, c = 7.421 Å
α = 64.22°, β = 64.22°, γ = 90.00°
Sites, in units of the cell vectors:
1 Te 0.875 0.800 0.750
2 Te 0.200 0.625 0.250
3 Te 0.375 0.450 0.750
4 Te 0.550 0.125 0.250
5 Mn 0.250 0.750 0.500
6 Mn 0.500 0.500 0.000
7 Hg 0.750 0.250 0.500
8 Hg 0.000 0.000 0.000

Total magnetization   0.00 μB per atom
E_tot   -14.881 eV per formula unit
SG   I-42d (122)

This record from Alexandria describes K2ZrCr after structural relaxation. The functional is PBE.

a = 4.942 Å, b = 4.942 Å, c = 10.470 Å
α = 77.73°, β = 77.73°, γ = 38.05°
Sites, in units of the cell vectors:
1 Zr 0.439 0.439 0.625
2 K 0.248 0.248 0.325
3 K 0.099 0.099 0.925
4 Cr 0.714 0.714 0.625

Formation energy   3.4 eV/f.u.
Total magnetization   0.51 μB per atom
SG   Cm (8)
Energy above the most stable polymorph in this dataset   185 meV per atom

This record from Alexandria describes NiTeRh4 after structural relaxation. The functional is PBE.

a = 5.178 Å, b = 5.178 Å, c = 5.178 Å
α = 60.00°, β = 60.00°, γ = 60.00°
Sites, in units of the cell vectors:
1 Te 0.250 0.250 0.250
2 Rh 0.626 0.626 0.626
3 Rh 0.626 0.626 0.123
4 Rh 0.626 0.123 0.626
5 Rh 0.123 0.626 0.626
6 Ni 0.000 0.000 0.000

Total magnetization   0.25 μB per atom
E_tot   -35.795 eV per formula unit
SG   F-43m (216)

This record from Alexandria describes ZnIn2W after structural relaxation. The functional is PBE.

a = 2.903 Å, b = 5.258 Å, c = 5.085 Å
α = 90.00°, β = 90.00°, γ = 90.00°
Sites, in units of the cell vectors:
1 In 0.000 0.000 0.000
2 In 0.500 0.500 0.000
3 Zn 0.000 0.500 0.500
4 W 0.500 0.000 0.500

Formation energy   2.3 eV/f.u.
Total magnetization   0.00 μB per atom
SG   Pmmm (47)

This record from Alexandria describes CeDyCdOs after structural relaxation. The functional is PBE.

a = 3.344 Å, b = 3.344 Å, c = 8.446 Å
α = 90.00°, β = 90.00°, γ = 90.00°
Sites, in units of the cell vectors:
1 Os 0.000 0.000 0.569
2 Ce 0.500 0.500 0.776
3 Cd 0.000 0.000 0.078
4 Dy 0.500 0.500 0.362

Formation energy   -1.1 eV/f.u.
Total magnetization   0.00 μB per atom
SG   P4mm (99)
Energy above the most stable polymorph in this dataset   0 meV per atom

This record from Alexandria describes Fe3HW after structural relaxation. The functional is PBE.

a = 4.877 Å, b = 4.877 Å, c = 5.779 Å
α = 65.04°, β = 65.04°, γ = 90.00°
Sites, in units of the cell vectors:
1 H 0.000 0.000 0.000
2 H 0.250 0.750 0.500
3 Fe 0.131 0.377 0.739
4 Fe 0.631 0.631 0.739
5 Fe 0.131 0.885 0.739
6 Fe 0.623 0.869 0.261
7 Fe 0.115 0.869 0.261
8 Fe 0.369 0.369 0.261
9 W 0.889 0.389 0.223
10 W 0.611 0.111 0.777

Total magnetization   1.22 μB per atom
SG   I-4m2 (119)
Energy above the most stable polymorph in this dataset   406 meV per atom

Question: Among the records above, which one has the highest total magnetization?
Answer: Fe3HW